{"formula": "Cu2OsPt", "functional": "meta-GGA SCAN", "state": "PBEsol geometry", "total_magnetization_mub_per_fu": 0.00, "de_polymorph_kj_per_mol_fu": 82, "ef_ev_per_atom": 0.344, "cell": [[4.3577, 0.0000, 0.0000], [0.0000, 4.3577, 0.0000], [0.0000, 0.0000, 2.7247]], "species": ["Cu", "Cu", "Os", "Pt"], "frac_coords": [[0.0000, 0.5000, 0.0000], [0.5000, 0.0000, 0.0000], [0.0000, 0.0000, 0.5000], [0.5000, 0.5000, 0.5000]]}